## Ce2NdRe9 (PBE)

Data for a geometry-optimized Ce2NdRe9 structure.

a b c (Å): 9.5567 9.5567 9.5567
angles (deg): 32.61 32.61 32.61
With the nearest neighbours (Å) after each atom.
Sites, in units of the cell vectors:
1 Ce 0.1462 0.1462 0.1462  12 Re 3.15-3.22, 3 Ce 3.29
2 Ce 0.8538 0.8538 0.8538  12 Re 3.15-3.22, 3 Ce 3.29
3 Nd 0.0000 0.0000 0.0000  6 Re 3.10
4 Re 0.0780 0.5849 0.5849  7 Re 2.65-2.77
5 Re 0.3358 0.3358 0.3358  6 Re 2.68-2.77
6 Re 0.4151 0.4151 0.9220  7 Re 2.65-2.77
7 Re 0.4151 0.9220 0.4151  7 Re 2.65-2.77
8 Re 0.5000 0.5000 0.5000  6 Re 2.77
9 Re 0.5849 0.0780 0.5849  7 Re 2.65-2.77
10 Re 0.5849 0.5849 0.0780  7 Re 2.65-2.77
11 Re 0.6642 0.6642 0.6642  6 Re 2.68-2.77
12 Re 0.9220 0.4151 0.4151  7 Re 2.65-2.77

Properties
The volume comes out at 18.79 Å³ per atom. As for the size of the total moment: 0.00 μB/atom. The value obtained for the calculated total energy is -10.670 eV/atom.